DFT (GGA-PBE) results for crystalline Se at its relaxed geometry.

Values from the calculation:
- E_form (uncorrected) (eV per atom) = 0.530
- total moment (μB/f.u.) = 0.0
- DOS at the Fermi energy (states/eV per atom) = 0.93
- energy (hartree per atom) = -0.1086
- energy relative to the lowest polymorph listed for this composition (eV/f.u.) = 0.53

Lattice parameters (Å, degrees): 11.492 11.492 11.492 90.00 90.00 90.00
Space group Fd-3m (No. 227, origin choice 2)
Inequivalent atoms, fractional coordinates:
Se  0.000  0.000  0.000 [16 per cell]
Se  0.125  0.125  0.125 [8 per cell]